The following is a DFT calculation (PBE) of crystalline Sr3Al2Ag4 at its relaxed geometry.

Summary:
- Energy of formation: -263 meV/atom
- DFT total energy: -2.922 eV/atom
- Total moment: 0.00 μB/cell
- SG: C2/m (12)

Cell: 6.261 6.261 9.177 Å, 109.01 109.01 45.12°
Positions (direct):
Sr 0.000 0.000 0.000
Sr 0.368 0.368 0.307
Sr 0.632 0.632 0.693
Al 0.332 0.332 0.662
Al 0.668 0.668 0.338
Ag 0.105 0.105 0.420
Ag 0.277 0.277 0.923
Ag 0.723 0.723 0.077
Ag 0.895 0.895 0.580